Density functional theory data (PBE) for a relaxed structure of Gd3Mg3Ga2Pd.

Cell: 7.3700 7.3700 4.3632 Å, 90.00 90.00 120.00°
Space group P-62m (No. 189)
Symmetry-distinct sites (fractional):
Gd 0.0000 0.4147 0.0000 x3
Mg 0.0000 0.7607 0.5000 x3
Ga 0.3333 0.6667 0.5000 x2
Pd 0.0000 0.0000 0.0000 x1

=====

Density functional theory data (PBE) for a relaxed structure of Gd2Fe2SiGeC.

Cell: 10.682 3.972 6.839 Å, 90.00 129.08 90.00°
Space group Cm (No. 8)
Symmetry-distinct sites (fractional):
Gd 0.000 0.000 0.000 x2
Gd 0.117 0.000 0.585 x2
Fe 0.253 0.500 0.377 x2
Fe 0.357 0.000 0.194 x2
Si 0.227 0.500 0.016 x2
Ge 0.397 0.000 0.580 x2
C 0.056 0.500 0.289 x2

=====

Density functional theory data (PBE) for a relaxed structure of Ta3B2P.

Cell: 3.3234 3.3234 16.8658 Å, 90.00 90.00 120.00°
Space group P6_3/mmc (No. 194)
Symmetry-distinct sites (fractional):
Ta 0.0000 0.0000 0.0000 x2
Ta 0.3333 0.6667 0.1486 x4
B 0.3333 0.6667 0.5775 x4
P 0.0000 0.0000 0.2500 x2

=====

Density functional theory data (PBE) for a relaxed structure of DyHoBe2Si2.

Cell: 3.8655 3.8655 8.0156 Å, 90.00 90.00 120.00°
Space group P-3m1 (No. 164)
Symmetry-distinct sites (fractional):
Dy 0.0000 0.0000 0.0000 x1
Ho 0.0000 0.0000 0.5000 x1
Be 0.3333 0.6667 0.7492 x2
Si 0.3333 0.6667 0.2511 x2

=====

Density functional theory data (PBE) for a relaxed structure of Ni9Sb2.

Results
* relative energy among the computed polymorphs: 0.000 eV/f.u.

Cell: 2.7905 2.7905 30.8880 Å, 90.00 90.00 120.00°
Space group P-3m1 (No. 164)
Symmetry-distinct sites (fractional):
Ni 0.0000 0.0000 0.0000 x1
Ni 0.0000 0.0000 0.1800 x2
Ni 0.3333 0.6667 0.1200 x2
Ni 0.3333 0.6667 0.7587 x2
Ni 0.3333 0.6667 0.9399 x2
Sb 0.3333 0.6667 0.3089 x2

=====

Density functional theory data (PBE) for a relaxed structure of BaCoGe2.

Cell: 7.022 7.022 7.022 Å, 90.00 90.00 90.00°
Space group F-43m (No. 216)
Symmetry-distinct sites (fractional):
Ba 0.000 0.000 0.000 x4
Co 0.250 0.250 0.250 x4
Ge 0.000 0.000 0.500 x4
Ge 0.250 0.250 0.750 x4

=====

Density functional theory data (PBE) for a relaxed structure of ZrCoNiB.

Results
* relative energy among the computed polymorphs: 0.043 eV/f.u.

Cell: 5.807 5.807 5.807 Å, 90.00 90.00 90.00°
Space group F-43m (No. 216)
Symmetry-distinct sites (fractional):
Zr 0.000 0.000 0.000 x4
Co 0.250 0.250 0.750 x4
Ni 0.250 0.250 0.250 x4
B 0.000 0.000 0.500 x4

=====

Density functional theory data (PBE) for a relaxed structure of LiHf3Hg2.

Cell: 3.210 3.210 11.903 Å, 90.00 90.00 90.00°
Space group P4mm (No. 99)
Symmetry-distinct sites (fractional):
Li 0.000 0.000 0.000 x1
Hf 0.000 0.000 0.307 x1
Hf 0.500 0.500 0.480 x1
Hf 0.500 0.500 0.828 x1
Hg 0.000 0.000 0.660 x1
Hg 0.500 0.500 0.121 x1

=====

The DFT total energy results, record by record, are as follows: -3.887; -7.097; -9.829; -5.240; -4.909; -4.122; -6.897; -5.443 eV/atom.